1.
Compound: Hf3CrCu
Source: Alexandria
Functional: meta-GGA SCAN
Structure: PBEsol geometry

Computed properties:
SG: Pm-3m
E_form, eV per atom: 0.667

a b c (Å): 4.7751 4.7751 4.7751
angles (deg): 90.00 90.00 90.00
Last column: nearest neighbours and their distance in Å.
Element x y z (fractional)
Hf (0.0000, 0.0000, 0.5000)  2 Cu 2.39
Hf (0.0000, 0.5000, 0.0000)  2 Cu 2.39
Hf (0.5000, 0.0000, 0.0000)  2 Cu 2.39
Cu (0.0000, 0.0000, 0.0000)  6 Hf 2.39
Cr (0.5000, 0.5000, 0.5000)  12 Hf 3.38

2.
Compound: CaAgC2
Source: Alexandria
Functional: meta-GGA SCAN
Structure: PBEsol geometry

Computed properties:
SG: Fm-3m
E_form, eV per atom: 1.610

a b c (Å): 4.1592 4.1592 4.1592
angles (deg): 60.00 60.00 60.00
Last column: nearest neighbours and their distance in Å.
Element x y z (fractional)
C (0.2500, 0.2500, 0.2500)  4 Ca 2.55, 4 Ag 2.55
C (0.7500, 0.7500, 0.7500)  4 Ag 2.55, 4 Ca 2.55
Ca (0.0000, 0.0000, 0.0000)  8 C 2.55
Ag (0.5000, 0.5000, 0.5000)  8 C 2.55

3.
Compound: MgTl2In
Source: Alexandria
Functional: meta-GGA SCAN
Structure: PBEsol geometry

Computed properties:
SG: Imm2
E_form, eV per atom: 0.000

a b c (Å): 3.6423 5.2873 6.2288
angles (deg): 115.11 107.00 90.00
Last column: nearest neighbours and their distance in Å.
Element x y z (fractional)
Mg (0.2472, 0.7472, 0.4944)  2 In 3.12, 6 Tl 3.17-3.21
In (0.5103, 0.5103, 0.0205)  2 Mg 3.12, 6 Tl 3.22-3.30
Tl (0.9897, 0.9897, 0.9794)  2 Mg 3.17, 4 In 3.22, 2 Tl 3.35
Tl (0.7528, 0.2528, 0.5057)  4 Mg 3.21, 2 In 3.30, 2 Tl 3.35

4.
Compound: TaBr2F
Source: Alexandria
Functional: meta-GGA SCAN
Structure: PBEsol geometry

Computed properties:
E_form (uncorrected), eV per atom: -1.2175
SG: I-42d

a b c (Å): 4.0660 6.9960 6.9960
angles (deg): 85.16 73.11 73.11
Last column: nearest neighbours and their distance in Å.
Element x y z (fractional)
Br (0.7801, 0.8449, 0.3449)  2 Ta 2.58
Br (0.8750, 0.3449, 0.1551)  2 Ta 2.58
Br (0.9699, 0.1551, 0.6551)  2 Ta 2.58
Br (0.3750, 0.6551, 0.8449)  2 Ta 2.58
F (0.2500, 0.5000, 0.5000)  2 Ta 2.03
F (0.5000, 0.0000, 0.0000)  2 Ta 2.03
Ta (0.0000, 0.0000, 0.0000)  2 F 2.03
Ta (0.7500, 0.5000, 0.5000)  2 F 2.03

5.
Compound: ZnIn8
Source: Alexandria
Functional: meta-GGA SCAN
Structure: PBEsol geometry

Computed properties:
SG: I4/mmm
E_form, eV per atom: 0.109

a b c (Å): 4.3976 7.3611 7.3611
angles (deg): 84.88 72.62 72.62
Last column: nearest neighbours and their distance in Å.
Element x y z (fractional)
In (0.3397, 0.0000, 0.3206)  2 Zn 3.15, 10 In 3.19-3.38
In (0.3284, 0.6716, 0.6716)  11 In 3.19-3.41, 1 Zn 3.26
In (0.6716, 0.3284, 0.3284)  11 In 3.19-3.41, 1 Zn 3.26
In (0.0000, 0.6716, 0.3284)  11 In 3.19-3.41, 1 Zn 3.26
In (0.6603, 0.6794, 0.0000)  2 Zn 3.15, 10 In 3.19-3.38
In (0.3397, 0.3206, 0.0000)  2 Zn 3.15, 10 In 3.19-3.38
In (0.0000, 0.3284, 0.6716)  11 In 3.19-3.41, 1 Zn 3.26
In (0.6603, 0.0000, 0.6794)  2 Zn 3.15, 10 In 3.19-3.38
Zn (0.0000, 0.0000, 0.0000)  12 In 3.15-3.26

6.
Compound: OsRu3
Source: Alexandria
Functional: meta-GGA SCAN
Structure: PBEsol geometry

Computed properties:
SG: C2/m
E_form, eV per atom: 0.125

a b c (Å): 2.6750 4.6280 4.6294
angles (deg): 99.63 90.00 106.80
Last column: nearest neighbours and their distance in Å.
Element x y z (fractional)
Ru (0.2505, 0.5009, 0.7502)  3 Os 2.67-2.68, 9 Ru 2.67-2.68
Ru (0.7495, 0.4991, 0.2498)  3 Os 2.67-2.68, 9 Ru 2.67-2.68
Ru (0.5000, 0.0000, 0.5000)  8 Ru 2.67-2.68, 4 Os 2.67
Os (0.0000, 0.0000, 0.0000)  10 Ru 2.67-2.68, 2 Os 2.68

7.
Compound: ZnIn3W
Source: Alexandria
Functional: meta-GGA SCAN
Structure: PBEsol geometry

Computed properties:
SG: Pm-3m
E_form, eV per atom: 0.885

a b c (Å): 5.2490 5.2490 5.2490
angles (deg): 90.00 90.00 90.00
Last column: nearest neighbours and their distance in Å.
Element x y z (fractional)
Zn (0.5000, 0.5000, 0.5000)  12 In 3.71
W (0.0000, 0.0000, 0.0000)  6 In 2.62
In (0.5000, 0.0000, 0.0000)  2 W 2.62
In (0.0000, 0.5000, 0.0000)  2 W 2.62
In (0.0000, 0.0000, 0.5000)  2 W 2.62

8.
Compound: Sr2LiN
Source: Alexandria
Functional: meta-GGA SCAN
Structure: PBEsol geometry

Computed properties:
E_form (uncorrected), eV per atom: -0.3793
SG: I4mm

a b c (Å): 3.8581 3.8581 7.3813
angles (deg): 105.15 105.15 90.00
Last column: nearest neighbours and their distance in Å.
Element x y z (fractional)
Li (0.0203, 0.0203, 0.0405)  1 N 1.94
Sr (0.3351, 0.3351, 0.6701)  1 N 2.37
Sr (0.6497, 0.6497, 0.2994)  4 N 2.73
N (0.1620, 0.1620, 0.3240)  1 Li 1.94

9.
Compound: AlBr4
Source: Alexandria
Functional: meta-GGA SCAN
Structure: PBEsol geometry

Computed properties:
E_form (uncorrected), eV per atom: -0.7907
SG: P-1

a b c (Å): 3.2955 6.9068 6.7346
angles (deg): 101.04 76.45 90.08
Last column: nearest neighbours and their distance in Å.
Element x y z (fractional)
Br (0.1165, 0.6710, 0.7541)  1 Al 2.51
Br (0.6060, 0.1245, 0.7796)  2 Al 2.45-2.46
Br (0.8835, 0.3290, 0.2459)  1 Al 2.51
Br (0.3940, 0.8755, 0.2204)  2 Al 2.45-2.46
Al (0.0000, 0.0000, 0.0000)  6 Br 2.45-2.51

10.
Compound: MnBiS2Br
Source: Alexandria
Functional: meta-GGA SCAN
Structure: PBEsol geometry

Computed properties:
E_form (uncorrected), eV per atom: -0.7619
SG: C2/m

a b c (Å): 3.8869 6.5230 9.2722
angles (deg): 91.49 90.00 107.33
Last column: nearest neighbours and their distance in Å.
Element x y z (fractional)
S (0.4302, 0.8604, 0.2464)  2 Mn 2.47-2.48, 2 Bi 2.71
S (0.5698, 0.1396, 0.7536)  2 Mn 2.47-2.48, 2 Bi 2.71
S (0.8642, 0.7284, 0.9442)  2 Mn 2.62, 1 Bi 2.63
S (0.1358, 0.2716, 0.0558)  2 Mn 2.62, 1 Bi 2.63
Br (0.1371, 0.2742, 0.4363)  2 Mn 2.66
Br (0.8629, 0.7258, 0.5637)  2 Mn 2.66
Bi (0.7814, 0.5628, 0.2020)  3 S 2.63-2.71
Bi (0.2186, 0.4372, 0.7980)  3 S 2.63-2.71
Mn (0.5000, 0.0000, 0.0000)  6 S 2.47-2.62
Mn (0.5000, 0.0000, 0.5000)  2 S 2.48, 4 Br 2.66

11.
Compound: TcSbI2O
Source: Alexandria
Functional: meta-GGA SCAN
Structure: PBEsol geometry

Computed properties:
E_form (uncorrected), eV per atom: 0.9417
SG: P4/mmm

a b c (Å): 4.4390 5.0783 5.0783
angles (deg): 90.00 90.00 90.00
Last column: nearest neighbours and their distance in Å.
Element x y z (fractional)
I (0.0000, 0.0000, 0.5000)  2 O 2.54
I (0.0000, 0.5000, 0.0000)  2 O 2.54
Tc (0.5000, 0.5000, 0.5000)  8 I 3.37, 4 Sb 3.59
Sb (0.5000, 0.0000, 0.0000)  2 O 2.22
O (0.0000, 0.0000, 0.0000)  2 Sb 2.22

12.
Compound: LiCa3Rh
Source: Alexandria
Functional: meta-GGA SCAN
Structure: PBEsol geometry

Computed properties:
SG: Pm-3m
E_form, eV per atom: -0.204

a b c (Å): 5.4636 5.4636 5.4636
angles (deg): 90.00 90.00 90.00
Last column: nearest neighbours and their distance in Å.
Element x y z (fractional)
Ca (0.5000, 0.0000, 0.0000)  2 Rh 2.73
Ca (0.0000, 0.0000, 0.5000)  2 Rh 2.73
Ca (0.0000, 0.5000, 0.0000)  2 Rh 2.73
Rh (0.0000, 0.0000, 0.0000)  6 Ca 2.73
Li (0.5000, 0.5000, 0.5000)  12 Ca 3.86

13.
Compound: SrSe2Cl
Source: Alexandria
Functional: meta-GGA SCAN
Structure: PBEsol geometry

Computed properties:
E_form (uncorrected), eV per atom: -1.2570
SG: P4/mmm

a b c (Å): 4.3062 4.3062 5.7738
angles (deg): 90.00 90.00 90.00
Last column: nearest neighbours and their distance in Å.
Element x y z (fractional)
Se (0.0000, 0.0000, 0.2028)  1 Se 2.34
Se (0.0000, 0.0000, 0.7972)  1 Se 2.34
Cl (0.5000, 0.5000, 0.5000)  2 Sr 2.89
Sr (0.5000, 0.5000, 0.0000)  2 Cl 2.89

14.
Compound: CaSc2P
Source: Alexandria
Functional: meta-GGA SCAN
Structure: PBEsol geometry

Computed properties:
SG: P4/mmm
E_form, eV per atom: -0.521

a b c (Å): 3.3249 3.3249 8.5587
angles (deg): 90.00 90.00 90.00
Last column: nearest neighbours and their distance in Å.
Element x y z (fractional)
Sc (0.0000, 0.0000, 0.3357)  4 P 2.74, 1 Sc 2.81
Sc (0.0000, 0.0000, 0.6643)  4 P 2.74, 1 Sc 2.81
Ca (0.5000, 0.5000, 0.0000)  4 Ca 3.32, 8 Sc 3.71
P (0.5000, 0.5000, 0.5000)  8 Sc 2.74

15.
Compound: K2Cd3Se4
Source: Alexandria
Functional: meta-GGA SCAN
Structure: PBEsol geometry

Computed properties:
E_form (uncorrected), eV per atom: -0.9730
SG: Pnma

a b c (Å): 6.8488 10.5948 14.1268
angles (deg): 90.00 90.00 90.00
Last column: nearest neighbours and their distance in Å.
Element x y z (fractional)
Se (0.1307, 0.7500, 0.1425)  3 Cd 2.60-2.68
Se (0.4299, 0.2500, 0.6376)  3 Cd 2.66-2.76
Se (0.3693, 0.7500, 0.6425)  3 Cd 2.60-2.68
Se (0.8693, 0.2500, 0.8575)  3 Cd 2.60-2.68
Se (0.3876, 0.0324, 0.8687)  3 Cd 2.60-2.74
Se (0.6307, 0.2500, 0.3575)  3 Cd 2.60-2.68
Se (0.5701, 0.7500, 0.3624)  3 Cd 2.66-2.76
Se (0.9299, 0.7500, 0.8624)  3 Cd 2.66-2.76
Se (0.6124, 0.5324, 0.1313)  3 Cd 2.60-2.74
Se (0.1124, 0.4676, 0.3687)  3 Cd 2.60-2.74
Se (0.0701, 0.2500, 0.1376)  3 Cd 2.66-2.76
Se (0.6124, 0.9676, 0.1313)  3 Cd 2.60-2.74
Se (0.1124, 0.0324, 0.3687)  3 Cd 2.60-2.74
Se (0.8876, 0.9676, 0.6313)  3 Cd 2.60-2.74
Se (0.3876, 0.4676, 0.8687)  3 Cd 2.60-2.74
Se (0.8876, 0.5324, 0.6313)  3 Cd 2.60-2.74
K (0.0000, 0.5000, 0.0000)  6 Se 3.26-3.45
K (0.0199, 0.7500, 0.4651)  6 Se 3.35-3.46
K (0.5000, 0.5000, 0.5000)  6 Se 3.26-3.45
K (0.0000, 0.0000, 0.0000)  6 Se 3.26-3.45
K (0.4801, 0.7500, 0.9651)  6 Se 3.35-3.46
K (0.5000, 0.0000, 0.5000)  6 Se 3.26-3.45
K (0.9801, 0.2500, 0.5349)  6 Se 3.35-3.46
K (0.5199, 0.2500, 0.0349)  6 Se 3.35-3.46
Cd (0.1634, 0.5943, 0.7540)  4 Se 2.60-2.76
Cd (0.2716, 0.2500, 0.2983)  4 Se 2.60-2.74
Cd (0.7716, 0.7500, 0.2017)  4 Se 2.60-2.74
Cd (0.2284, 0.2500, 0.7983)  4 Se 2.60-2.74
Cd (0.1634, 0.9057, 0.7540)  4 Se 2.60-2.76
Cd (0.3366, 0.5943, 0.2540)  4 Se 2.60-2.76
Cd (0.3366, 0.9057, 0.2540)  4 Se 2.60-2.76
Cd (0.6634, 0.4057, 0.7460)  4 Se 2.60-2.76
Cd (0.8366, 0.0943, 0.2460)  4 Se 2.60-2.76
Cd (0.7284, 0.7500, 0.7017)  4 Se 2.60-2.74
Cd (0.6634, 0.0943, 0.7460)  4 Se 2.60-2.76
Cd (0.8366, 0.4057, 0.2460)  4 Se 2.60-2.76

16.
Compound: Al2Mo
Source: Alexandria
Functional: meta-GGA SCAN
Structure: PBEsol geometry

Computed properties:
SG: P-3m1
E_form, eV per atom: -0.041

a b c (Å): 2.8364 2.8364 6.6929
angles (deg): 90.00 90.00 120.00
Last column: nearest neighbours and their distance in Å.
Element x y z (fractional)
Al (0.3333, 0.6667, 0.3263)  3 Mo 2.73, 9 Al 2.84
Al (0.6667, 0.3333, 0.6737)  3 Mo 2.73, 9 Al 2.84
Mo (0.0000, 0.0000, 0.0000)  6 Al 2.73, 6 Mo 2.84

17.
Compound: MnZn2Br
Source: Alexandria
Functional: meta-GGA SCAN
Structure: PBEsol geometry

Computed properties:
E_form (uncorrected), eV per atom: 0.5586
SG: Fm-3m

a b c (Å): 4.7866 4.7866 4.7866
angles (deg): 60.00 60.00 60.00
Last column: nearest neighbours and their distance in Å.
Element x y z (fractional)
Br (0.5000, 0.5000, 0.5000)  8 Zn 2.93
Zn (0.2500, 0.2500, 0.2500)  4 Mn 2.93, 4 Br 2.93
Zn (0.7500, 0.7500, 0.7500)  4 Mn 2.93, 4 Br 2.93
Mn (0.0000, 0.0000, 0.0000)  8 Zn 2.93

18.
Compound: K2MnSi
Source: Alexandria
Functional: meta-GGA SCAN
Structure: PBEsol geometry

Computed properties:
E_form (uncorrected), eV per atom: 0.7809
SG: R-3m

a b c (Å): 3.1476 3.1476 11.8095
angles (deg): 82.34 82.34 60.00
Last column: nearest neighbours and their distance in Å.
Element x y z (fractional)
K (0.2547, 0.2547, 0.2358)  6 K 3.15, 3 Si 3.30
K (0.7453, 0.7453, 0.7642)  6 K 3.15, 3 Si 3.30
Mn (0.5000, 0.5000, 0.5000)  6 Mn 3.15
Si (0.0000, 0.0000, 0.0000)  6 Si 3.15, 6 K 3.30

19.
Compound: SrAg2P2
Source: Alexandria
Functional: meta-GGA SCAN
Structure: PBEsol geometry

Computed properties:
SG: I4/mmm
E_form, eV per atom: -0.485

a b c (Å): 4.2498 4.2498 6.1216
angles (deg): 110.31 110.31 90.00
Last column: nearest neighbours and their distance in Å.
Element x y z (fractional)
Ag (0.2500, 0.7500, 0.5000)  4 P 2.61
Ag (0.7500, 0.2500, 0.5000)  4 P 2.61
P (0.3924, 0.3924, 0.7848)  1 P 2.30
P (0.6076, 0.6076, 0.2152)  1 P 2.30
Sr (0.0000, 0.0000, 0.0000)  8 P 3.22, 8 Ag 3.41

20.
Compound: BaScBe2
Source: Alexandria
Functional: meta-GGA SCAN
Structure: PBEsol geometry

Computed properties:
SG: P4/mmm
E_form, eV per atom: 0.272

a b c (Å): 3.4510 3.4510 7.1404
angles (deg): 90.00 90.00 90.00
Last column: nearest neighbours and their distance in Å.
Element x y z (fractional)
Be (0.0000, 0.0000, 0.1605)  1 Be 2.29
Be (0.0000, 0.0000, 0.8395)  1 Be 2.29
Sc (0.5000, 0.5000, 0.0000)  8 Be 2.70
Ba (0.5000, 0.5000, 0.5000)  8 Be 3.44, 4 Ba 3.45, 2 Sc 3.57